[1]
# HgRuPb

HgRuPb after structural relaxation (PBE, Alexandria).

* total moment: 0.000 μB/f.u.
* energy relative to the elements: 0.54 eV/atom
* DOS at the Fermi energy: 4.01 states/eV/f.u.
* distance to the lowest polymorph of the same formula: 268 meV/atom

```
HgRuPb
1.0
3.270 0.000 0.000
-1.635 2.832 0.000
0.000 0.000 7.063
Pb Hg Ru
1 1 1
direct
0.667 0.333 0.370
0.000 0.000 0.968
0.333 0.667 0.662
```

=====

[2]
# HgRuPb

HgRuPb after structural relaxation (PBE, Alexandria).

* total moment: 0.000 μB/f.u.
* energy relative to the elements: 0.48 eV/atom
* DOS at the Fermi energy: 1.28 states/eV/f.u.
* distance to the lowest polymorph of the same formula: 204 meV/atom

```
HgRuPb
1.0
-5.956 -1.210 0.072
-3.452 -4.241 -2.653
5.019 1.289 3.177
Hg Pb Ru
1 1 1
direct
0.022 0.022 0.000
0.308 0.308 0.000
0.669 0.669 0.000
```

=====

[3]
# HgRu2Pb

HgRu2Pb after structural relaxation (PBE, Alexandria).

* total moment: 0.003 μB/f.u.
* energy relative to the elements: 0.57 eV/atom
* DOS at the Fermi energy: 6.17 states/eV/f.u.
* distance to the lowest polymorph of the same formula: 203 meV/atom

```
HgRu2Pb
1.0
0.000 3.291 3.291
3.291 0.000 3.291
3.291 3.291 0.000
Hg Pb Ru
1 1 2
direct
0.000 0.000 0.000
0.500 0.500 0.500
0.250 0.250 0.250
0.750 0.750 0.750
```

=====

[4]
# HgRuPb

HgRuPb after structural relaxation (PBE, Alexandria).

* total moment: 0.000 μB/f.u.
* energy relative to the elements: 0.27 eV/atom
* DOS at the Fermi energy: 1.69 states/eV/f.u.
* distance to the lowest polymorph of the same formula: 0 meV/atom

```
HgRuPb
1.0
3.065 0.000 0.003
0.000 3.064 0.001
-0.034 -0.118 14.594
Pb Hg Ru
2 2 2
direct
0.051 0.814 0.869
0.054 0.818 0.101
0.577 0.858 0.667
0.556 0.334 0.481
0.555 0.324 0.244
0.056 0.827 0.345
```

=====

[5]
# HgRu2Pb

HgRu2Pb after structural relaxation (PBE, Alexandria).

* total moment: 0.000 μB/f.u.
* energy relative to the elements: 0.36 eV/atom
* DOS at the Fermi energy: 2.66 states/eV/f.u.
* distance to the lowest polymorph of the same formula: 0 meV/atom

```
HgRu2Pb
1.0
-0.635 -0.766 -2.830
1.181 -2.716 0.471
-7.873 -2.977 2.572
Pb Ru Hg
1 2 1
direct
0.500 0.500 0.795
0.000 0.000 0.044
0.500 0.500 0.216
0.000 0.000 0.446
```

=====

[6]
# HgRu2Pb

HgRu2Pb after structural relaxation (PBE, Alexandria).

* total moment: 2.124 μB/f.u.
* energy relative to the elements: 0.75 eV/atom
* DOS at the Fermi energy: 5.58 states/eV/f.u.
* distance to the lowest polymorph of the same formula: 385 meV/atom

```
HgRu2Pb
1.0
5.290 0.072 0.000
2.090 4.860 0.000
-3.690 -2.466 2.880
Hg Ru Pb
1 2 1
direct
0.500 0.500 0.000
0.000 0.000 0.000
0.250 0.750 0.500
0.750 0.250 0.500
```

=====

[7]
# HgRuPb

HgRuPb after structural relaxation (PBE, Alexandria).

* total moment: 0.000 μB/f.u.
* energy relative to the elements: 0.34 eV/atom
* DOS at the Fermi energy: 2.29 states/eV/f.u.
* distance to the lowest polymorph of the same formula: 72 meV/atom

```
HgRuPb
1.0
4.822 0.000 0.000
0.000 3.140 0.000
0.000 0.000 4.581
Hg Pb Ru
1 1 1
direct
0.500 0.500 0.000
0.000 0.500 0.500
0.000 0.000 0.000
```

=====

[8]
# HgRu2Pb

HgRu2Pb after structural relaxation (PBE, Alexandria).

* total moment: 0.000 μB/f.u.
* energy relative to the elements: 0.58 eV/atom
* DOS at the Fermi energy: 4.56 states/eV/f.u.
* distance to the lowest polymorph of the same formula: 218 meV/atom

```
HgRu2Pb
1.0
6.289 0.027 0.004
3.847 4.975 -0.004
-4.567 -3.516 2.517
Ru Pb Hg
2 1 1
direct
0.988 0.988 0.000
0.802 0.302 0.500
0.216 0.716 0.500
0.494 0.494 0.000
```

=====

[9]
# HgRuPb

HgRuPb after structural relaxation (PBE, Alexandria).

* total moment: 0.001 μB/f.u.
* energy relative to the elements: 0.36 eV/atom
* DOS at the Fermi energy: 2.36 states/eV/f.u.
* distance to the lowest polymorph of the same formula: 91 meV/atom

```
HgRuPb
1.0
-0.090 2.159 2.290
2.118 -2.813 2.736
16.977 6.972 -5.974
Pb Hg Ru
4 4 4
direct
0.868 0.000 0.587
0.868 0.500 0.087
0.865 0.500 0.442
0.865 0.000 0.942
0.370 0.500 0.236
0.868 0.000 0.332
0.370 0.000 0.736
0.868 0.500 0.832
0.869 0.000 0.186
0.368 0.000 0.070
0.368 0.500 0.570
0.869 0.500 0.686
```

=====

[10]
# HgRu2Pb2

HgRu2Pb2 after structural relaxation (PBE, Alexandria).

* total moment: 0.000 μB/f.u.
* energy relative to the elements: 0.39 eV/atom
* DOS at the Fermi energy: 4.14 states/eV/f.u.

```
HgRu2Pb2
1.0
-2.867 -1.214 -7.057
-6.964 -1.299 3.052
-0.729 3.279 -0.268
Pb Ru Hg
4 4 2
direct
0.845 0.345 0.500
0.655 0.845 0.500
0.155 0.655 0.500
0.345 0.155 0.500
0.856 0.644 0.000
0.644 0.144 0.000
0.356 0.856 0.000
0.144 0.356 0.000
0.500 0.500 0.000
0.000 0.000 0.000
```

=====

[11]
# HgRuPb

HgRuPb after structural relaxation (PBE, Alexandria).

* total moment: 0.000 μB/f.u.
* energy relative to the elements: 0.48 eV/atom
* DOS at the Fermi energy: 1.97 states/eV/f.u.
* distance to the lowest polymorph of the same formula: 206 meV/atom

```
HgRuPb
1.0
4.604 0.000 0.000
2.302 3.987 0.000
2.302 1.329 3.759
Pb Ru Hg
1 1 1
direct
0.500 0.500 0.500
0.750 0.750 0.750
0.000 0.000 0.000
```

=====

[12]
# HgRu3Pb

HgRu3Pb after structural relaxation (PBE, Alexandria).

* total moment: 4.003 μB/f.u.
* energy relative to the elements: 2.01 eV/atom
* DOS at the Fermi energy: 5.77 states/eV/f.u.
* distance to the lowest polymorph of the same formula: 0 meV/atom

```
HgRu3Pb
1.0
4.990 0.000 0.000
0.000 4.990 0.000
0.000 0.000 4.990
Ru Hg Pb
3 1 1
direct
0.000 0.000 0.500
0.000 0.500 0.000
0.500 0.000 0.000
0.500 0.500 0.500
0.000 0.000 0.000
```

=====

[13]
# HgRu2Pb

HgRu2Pb after structural relaxation (PBE, Alexandria).

* total moment: 0.000 μB/f.u.
* energy relative to the elements: 0.67 eV/atom
* DOS at the Fermi energy: 4.27 states/eV/f.u.
* distance to the lowest polymorph of the same formula: 310 meV/atom

```
HgRu2Pb
1.0
-0.339 -0.947 4.036
0.889 -2.916 -0.609
5.963 0.008 0.503
Ru Hg Pb
2 1 1
direct
0.000 0.882 0.018
0.000 0.618 0.482
0.500 0.250 0.250
0.500 0.750 0.750
```

=====

[14]
# HgRu2Pb

HgRu2Pb after structural relaxation (PBE, Alexandria).

* total moment: 0.000 μB/f.u.
* energy relative to the elements: 0.62 eV/atom
* DOS at the Fermi energy: 2.97 states/eV/f.u.
* distance to the lowest polymorph of the same formula: 258 meV/atom

```
HgRu2Pb
1.0
-1.582 -1.003 -4.429
-0.186 -3.541 -3.248
-4.880 -2.318 0.787
Ru Hg Pb
2 1 1
direct
0.508 0.508 0.534
0.992 0.992 0.966
0.750 0.750 0.750
0.250 0.250 0.250
```

=====

[15]
# HgRu2Pb

HgRu2Pb after structural relaxation (PBE, Alexandria).

* total moment: 2.202 μB/f.u.
* energy relative to the elements: 0.82 eV/atom
* DOS at the Fermi energy: 4.43 states/eV/f.u.
* distance to the lowest polymorph of the same formula: 457 meV/atom

```
HgRu2Pb
1.0
4.736 0.000 0.000
2.368 4.101 0.000
2.368 1.367 3.867
Ru Hg Pb
2 1 1
direct
0.000 0.000 0.000
0.250 0.250 0.250
0.500 0.500 0.500
0.750 0.750 0.750
```

=====

[16]
# HgRu2Pb

HgRu2Pb after structural relaxation (PBE, Alexandria).

* total moment: 0.577 μB/f.u.
* energy relative to the elements: 0.68 eV/atom
* DOS at the Fermi energy: 4.89 states/eV/f.u.
* distance to the lowest polymorph of the same formula: 314 meV/atom

```
HgRu2Pb
1.0
-8.728 0.692 0.433
-8.356 -2.341 1.243
-8.068 -0.075 3.428
Pb Ru Hg
1 2 1
direct
0.750 0.750 0.750
0.002 0.002 0.002
0.498 0.498 0.498
0.250 0.250 0.250
```

=====

[17]
# HgRu2Pb

HgRu2Pb after structural relaxation (PBE, Alexandria).

* total moment: 1.123 μB/f.u.
* energy relative to the elements: 0.83 eV/atom
* DOS at the Fermi energy: 2.15 states/eV/f.u.
* distance to the lowest polymorph of the same formula: 464 meV/atom

```
HgRu2Pb
1.0
-2.164 -0.741 -3.503
-1.371 -3.609 1.611
-9.504 2.460 2.852
Hg Ru Pb
2 4 2
direct
0.250 0.750 0.500
0.500 0.500 0.000
0.216 0.625 0.250
0.534 0.125 0.250
0.875 0.784 0.750
0.375 0.466 0.750
0.750 0.250 0.500
0.000 0.000 0.000
```

=====

[18]
# HgRu2Pb

HgRu2Pb after structural relaxation (PBE, Alexandria).

* total moment: 1.183 μB/f.u.
* energy relative to the elements: 0.58 eV/atom
* DOS at the Fermi energy: 3.85 states/eV/f.u.
* distance to the lowest polymorph of the same formula: 219 meV/atom

```
HgRu2Pb
1.0
-2.239 -3.451 1.555
2.460 -2.009 -0.918
3.512 -0.362 4.253
Hg Ru Pb
1 2 1
direct
0.000 0.463 0.448
0.500 0.063 0.249
0.000 0.185 0.007
0.500 0.789 0.796
```

=====

[19]
# HgRu4Pb

HgRu4Pb after structural relaxation (PBE, Alexandria).

* total moment: 3.715 μB/f.u.
* energy relative to the elements: 0.69 eV/atom
* DOS at the Fermi energy: 7.69 states/eV/f.u.

```
HgRu4Pb
1.0
-2.817 -4.501 -0.143
-3.031 -1.369 4.142
-5.293 0.191 -0.404
Hg Ru Pb
1 4 1
direct
0.750 0.750 0.750
0.375 0.375 0.874
0.375 0.874 0.375
0.874 0.375 0.375
0.375 0.375 0.375
0.000 0.000 0.000
```

=====

[20]
# HgRu2Pb

HgRu2Pb after structural relaxation (PBE, Alexandria).

* total moment: 0.727 μB/f.u.
* energy relative to the elements: 0.58 eV/atom
* DOS at the Fermi energy: 4.61 states/eV/f.u.
* distance to the lowest polymorph of the same formula: 219 meV/atom

```
HgRu2Pb
1.0
4.652 0.032 0.000
-0.031 4.652 0.000
0.000 0.000 3.297
Hg Ru Pb
1 2 1
direct
0.500 0.000 0.500
0.000 0.000 0.000
0.500 0.500 0.000
0.000 0.500 0.500
```

=====

[21]
# TcHgRuPb2

TcHgRuPb2 after structural relaxation (PBE, Alexandria).

* total moment: 5.795 μB/f.u.
* energy relative to the elements: 1.87 eV/atom
* DOS at the Fermi energy: 5.95 states/eV/f.u.

```
TcHgRuPb2
1.0
-2.183 4.954 1.109
-2.306 -1.940 4.127
4.422 1.263 3.064
Hg Pb Tc Ru
1 2 1 1
direct
0.000 0.000 0.000
0.000 0.000 0.500
0.500 0.000 0.000
0.500 0.500 0.500
0.000 0.500 0.000
```

=====

[22]
# HgTe2RuPb

HgTe2RuPb after structural relaxation (PBE, Alexandria).

* uncorrected formation energy: 6.60 eV per formula unit
* total moment: 2.779 μB/f.u.
* DOS at the Fermi energy: 4.88 states/eV/f.u.

```
HgTe2RuPb
1.0
-4.935 0.567 2.634
-0.659 -5.532 -0.044
2.611 -0.351 4.967
Pb Hg Ru Te
1 1 1 2
direct
0.000 0.500 0.000
0.000 0.000 0.000
0.500 0.500 0.500
0.000 0.000 0.500
0.500 0.000 0.000
```

=====

[23]
# TlHgRuPb2

TlHgRuPb2 after structural relaxation (PBE, Alexandria).

* total moment: 0.000 μB/f.u.
* energy relative to the elements: 0.19 eV/atom
* DOS at the Fermi energy: 3.49 states/eV/f.u.

```
TlHgRuPb2
1.0
-0.813 -3.690 -3.694
3.346 -3.238 2.499
-4.054 -1.976 2.867
Hg Pb Ru Tl
1 2 1 1
direct
0.500 0.500 0.500
0.000 0.500 0.000
0.500 0.000 0.000
0.000 0.000 0.000
0.000 0.000 0.500
```

=====

[24]
# Tm5HgRu2Pb2

Tm5HgRu2Pb2 after structural relaxation (PBE, Alexandria).

* total moment: 0.000 μB/f.u.
* energy relative to the elements: -0.38 eV/atom
* DOS at the Fermi energy: 5.57 states/eV/f.u.

```
Tm5HgRu2Pb2
1.0
-1.757 1.428 -2.834
-8.956 -7.331 1.858
-4.997 7.898 7.075
Tm Ru Pb Hg
10 4 4 2
direct
0.500 0.427 0.292
0.500 0.927 0.208
0.500 0.708 0.427
0.500 0.573 0.708
0.500 0.792 0.927
0.500 0.500 0.000
0.500 0.073 0.792
0.500 0.292 0.573
0.500 0.208 0.073
0.500 0.000 0.500
0.000 0.868 0.368
0.000 0.132 0.632
0.000 0.368 0.132
0.000 0.632 0.868
0.000 0.176 0.324
0.000 0.676 0.176
0.000 0.824 0.676
0.000 0.324 0.824
0.000 0.000 0.000
0.000 0.500 0.500
```

=====

[25]
# HgPbS2

HgPbS2 after structural relaxation (PBE, Alexandria).

* uncorrected formation energy: -1.14 eV per formula unit
* total moment: 0.000 μB/f.u.
* DOS at the Fermi energy: 0.00 states/eV/f.u.
* distance to the lowest polymorph of the same formula: 0 meV/atom

```
HgPbS2
1.0
5.880 -0.690 5.346
7.603 -2.007 1.339
7.237 2.428 2.314
Hg Pb S
1 1 2
direct
0.000 0.000 0.000
0.500 0.500 0.500
0.103 0.103 0.103
0.897 0.897 0.897
```

=====

[26]
# HgPb5S6

HgPb5S6 after structural relaxation (PBE, Alexandria).

* uncorrected formation energy: -5.15 eV per formula unit
* total moment: 0.000 μB/f.u.

```
HgPb5S6
1.0
-3.735 -4.594 -4.306
3.025 -6.629 0.217
-2.171 -4.838 4.930
S Pb Hg
6 5 1
direct
0.237 0.923 0.682
0.763 0.395 0.682
0.763 0.077 0.318
0.257 0.242 0.000
0.237 0.605 0.318
0.743 0.758 0.000
0.000 0.332 0.335
0.500 0.165 0.671
0.000 0.668 0.665
0.500 0.500 0.000
0.500 0.835 0.329
0.000 0.000 0.000
```

=====

[27]
# Hg2PbS

Hg2PbS after structural relaxation (PBE, Alexandria).

* uncorrected formation energy: -0.91 eV per formula unit
* total moment: 0.000 μB/f.u.
* DOS at the Fermi energy: 0.37 states/eV/f.u.

```
Hg2PbS
1.0
-3.555 1.143 -1.982
-0.437 -4.005 -1.527
-5.020 -3.776 11.338
Pb Hg S
2 4 2
direct
0.806 0.750 0.612
0.194 0.250 0.388
0.953 0.250 0.906
0.580 0.250 0.162
0.420 0.750 0.838
0.047 0.750 0.094
0.300 0.250 0.600
0.700 0.750 0.400
```

=====

[28]
# HgPbS

HgPbS after structural relaxation (PBE, Alexandria).

* uncorrected formation energy: -0.80 eV per formula unit
* total moment: 0.000 μB/f.u.
* DOS at the Fermi energy: 0.20 states/eV/f.u.
* distance to the lowest polymorph of the same formula: 43 meV/atom

```
HgPbS
1.0
-0.852 -0.651 6.038
-3.930 -0.968 -0.659
3.743 -6.423 -0.164
Pb Hg S
2 2 2
direct
0.500 0.050 0.597
0.000 0.689 0.874
0.250 0.369 0.236
0.750 0.369 0.236
0.000 0.063 0.624
0.500 0.675 0.847
```